No. 1
Below is a relaxed Er2ThScBi4 crystal, with properties calculated at the GGA-PBE level.

It has space group P2/m (No. 10), with a = 7.688 Å, b = 4.463 Å, c = 7.717 Å, α = 90.00°, β = 109.50° and γ = 90.00°. The asymmetric unit holds Er at (0.000, 0.000, 0.000), Er at (0.500, 0.500, 0.000), Th at (0.000, 0.500, 0.500), Sc at (0.500, 0.000, 0.500), Bi at (0.262, 0.000, 0.754) and Bi at (0.262, 0.500, 0.254).

The value obtained for the formation energy is -702.3 meV per atom.

No. 2
Below is a relaxed TaZnTe2 crystal, with properties calculated at the GGA-PBE level.

It has space group P4mm (No. 99), with a = 3.568 Å, b = 3.568 Å, c = 7.588 Å, α = 90.00°, β = 90.00° and γ = 90.00°. The asymmetric unit holds Ta at (0.000, 0.000, 0.000), Zn at (0.500, 0.500, 0.799), Te at (0.000, 0.000, 0.633) and Te at (0.500, 0.500, 0.194).

Its uncorrected formation energy is 0.08 eV/atom.

No. 3
Below is a relaxed LiNdCoC crystal, with properties calculated at the GGA-PBE level.

It has space group P4/nmm (No. 129, origin choice 2), with a = 3.419 Å, b = 3.419 Å, c = 11.159 Å, α = 90.00°, β = 90.00° and γ = 90.00°. The asymmetric unit holds Li at (0.250, 0.750, 0.000), Nd at (0.250, 0.250, 0.283), Co at (0.250, 0.750, 0.500) and C at (0.250, 0.250, 0.594).

The value obtained for the formation energy is -36.8 meV per atom.

No. 4
Below is a relaxed RbSbSe2 crystal, with properties calculated at the GGA-PBE level.

It has space group Pna2_1 (No. 33), with a = 6.990 Å, b = 10.410 Å, c = 8.435 Å, α = 90.00°, β = 90.00° and γ = 90.00°. The asymmetric unit holds Rb at (0.244, 0.117, 0.000), Sb at (0.227, 0.134, 0.504), Se at (0.088, 0.816, 0.844) and Se at (0.214, 0.432, 0.846).

Its uncorrected formation energy is -0.68 eV/atom.

No. 5
Below is a relaxed La4Y3Th crystal, with properties calculated at the GGA-PBE level.

It has space group C2/m (No. 12), with a = 24.117 Å, b = 3.476 Å, c = 6.940 Å, α = 90.00°, β = 106.40° and γ = 90.00°. The asymmetric unit holds La at (0.120, 0.000, 0.359), La at (0.243, 0.500, 0.235), Y at (0.000, 0.000, 0.500), Y at (0.121, 0.000, 0.883) and Th at (0.000, 0.500, 0.000).

The value obtained for the formation energy is 159.2 meV per atom. The excess energy over the best structure of this formula in the dataset comes out at 0.0 meV per atom.

No. 6
Below is a relaxed ReTcN2 crystal, with properties calculated at the GGA-PBE level.

It has space group Fm-3m (No. 225), with a = 5.395 Å, b = 5.395 Å, c = 5.395 Å, α = 90.00°, β = 90.00° and γ = 90.00°. The asymmetric unit holds Re at (0.000, 0.000, 0.000), Tc at (0.000, 0.000, 0.500) and N at (0.250, 0.250, 0.250).

Its uncorrected formation energy is 0.96 eV/atom. The excess energy over the best structure of this formula in the dataset comes out at 681.9 meV per atom.

No. 7
Below is a relaxed CaCuBiAu crystal, with properties calculated at the GGA-PBE level.

It has space group F-43m (No. 216), with a = 7.110 Å, b = 7.110 Å, c = 7.110 Å, α = 90.00°, β = 90.00° and γ = 90.00°. The asymmetric unit holds Ca at (0.000, 0.000, 0.000), Cu at (0.250, 0.250, 0.750), Bi at (0.000, 0.000, 0.500) and Au at (0.250, 0.250, 0.250).

The value obtained for the formation energy is -290.8 meV per atom.

No. 8
Below is a relaxed BaTe2P crystal, with properties calculated at the GGA-PBE level.

It has space group R3m (No. 160, hexagonal axes), with a = 4.5640 Å, b = 4.5640 Å, c = 22.1669 Å, α = 90.00°, β = 90.00° and γ = 120.00°. The asymmetric unit holds Ba at (0.0000, 0.0000, 0.0000), Te at (0.0000, 0.0000, 0.5279), Te at (0.0000, 0.0000, 0.7670) and P at (0.0000, 0.0000, 0.2411).

Its uncorrected formation energy is -0.41 eV/atom.

No. 9
Below is a relaxed Cs2Hg2TeSe2 crystal, with properties calculated at the GGA-PBE level.

It has space group P-1 (No. 2), with a = 4.478 Å, b = 8.618 Å, c = 8.628 Å, α = 94.90°, β = 104.98° and γ = 105.01°. The asymmetric unit holds Cs at (0.216, 0.216, 0.214), Hg at (0.000, 0.278, 0.720), Te at (0.000, 0.500, 0.500) and Se at (0.500, 0.169, 0.829).

Its uncorrected formation energy is -0.60 eV/atom.

No. 10
Below is a relaxed LaTb2CeS4 crystal, with properties calculated at the GGA-PBE level.

It has space group P2/m (No. 10), with a = 6.929 Å, b = 3.983 Å, c = 6.997 Å, α = 90.00°, β = 109.16° and γ = 90.00°. The asymmetric unit holds La at (0.000, 0.000, 0.000), Tb at (0.000, 0.500, 0.500), Tb at (0.500, 0.000, 0.500), Ce at (0.500, 0.500, 0.000), S at (0.249, 0.000, 0.737) and S at (0.259, 0.500, 0.265).

Its uncorrected formation energy is -2.06 eV/atom.

No. 11
Below is a relaxed AcTmMgHg crystal, with properties calculated at the GGA-PBE level.

It has space group F-43m (No. 216), with a = 7.816 Å, b = 7.816 Å, c = 7.816 Å, α = 90.00°, β = 90.00° and γ = 90.00°. The asymmetric unit holds Ac at (0.000, 0.000, 0.000), Tm at (0.000, 0.000, 0.500), Mg at (0.250, 0.250, 0.250) and Hg at (0.250, 0.250, 0.750).

The value obtained for the formation energy is -198.4 meV per atom.

No. 12
Below is a relaxed Ag3RhW crystal, with properties calculated at the GGA-PBE level.

It has space group Pm-3m (No. 221), with a = 4.987 Å, b = 4.987 Å, c = 4.987 Å, α = 90.00°, β = 90.00° and γ = 90.00°. The asymmetric unit holds Ag at (0.000, 0.000, 0.500), Rh at (0.500, 0.500, 0.500) and W at (0.000, 0.000, 0.000).

The value obtained for the formation energy is 2132.5 meV per atom. The excess energy over the best structure of this formula in the dataset comes out at 185.9 meV per atom.

No. 13
Below is a relaxed Ac3Pt2Cl crystal, with properties calculated at the GGA-PBE level.

It has space group Cmcm (No. 63), with a = 4.445 Å, b = 15.818 Å, c = 12.238 Å, α = 90.00°, β = 90.00° and γ = 90.00°. The asymmetric unit holds Ac at (0.000, 0.027, 0.250), Ac at (0.000, 0.372, 0.000), Pt at (0.000, 0.000, 0.000), Pt at (0.000, 0.347, 0.750) and Cl at (0.000, 0.374, 0.250).

Its uncorrected formation energy is -1.13 eV/atom.

No. 14
Below is a relaxed Rb2CuOF6 crystal, with properties calculated at the GGA-PBE level.

It has space group I4/mmm (No. 139), with a = 5.561 Å, b = 5.561 Å, c = 9.658 Å, α = 90.00°, β = 90.00° and γ = 90.00°. The asymmetric unit holds Rb at (0.000, 0.500, 0.250), Cu at (0.000, 0.000, 0.000), O at (0.000, 0.000, 0.500), F at (0.000, 0.000, 0.190) and F at (0.242, 0.242, 0.500).

Its uncorrected formation energy is -1.52 eV/atom.

No. 15
Below is a relaxed AsC2 crystal, with properties calculated at the GGA-PBE level.

It has space group C2/m (No. 12), with a = 12.298 Å, b = 2.774 Å, c = 5.835 Å, α = 90.00°, β = 117.74° and γ = 90.00°. The asymmetric unit holds As at (0.129, 0.000, 0.429), C at (0.233, 0.500, 0.679) and C at (0.247, 0.500, 0.940).

The value obtained for the formation energy is 822.5 meV per atom. The excess energy over the best structure of this formula in the dataset comes out at 471.1 meV per atom.

No. 16
Below is a relaxed Nd3Cd2Ag4 crystal, with properties calculated at the GGA-PBE level.

It has space group C2/m (No. 12), with a = 8.934 Å, b = 5.177 Å, c = 9.390 Å, α = 90.00°, β = 90.10° and γ = 90.00°. The asymmetric unit holds Nd at (0.000, 0.000, 0.000), Nd at (0.167, 0.500, 0.597), Cd at (0.166, 0.500, 0.231), Ag at (0.001, 0.000, 0.657) and Ag at (0.166, 0.500, 0.924).

The value obtained for the formation energy is -242.8 meV per atom. The excess energy over the best structure of this formula in the dataset comes out at 49.7 meV per atom.

No. 17
Below is a relaxed Zr2AsPb crystal, with properties calculated at the GGA-PBE level.

It has space group Cmmm (No. 65), with a = 6.309 Å, b = 7.410 Å, c = 3.708 Å, α = 90.00°, β = 90.00° and γ = 90.00°. The asymmetric unit holds Zr at (0.250, 0.250, 0.000), As at (0.000, 0.000, 0.500) and Pb at (0.000, 0.500, 0.500).

The value obtained for the formation energy is -330.1 meV per atom. The excess energy over the best structure of this formula in the dataset comes out at 308.3 meV per atom.

No. 18
Below is a relaxed Ac2ZnNi6Ge crystal, with properties calculated at the GGA-PBE level.

It has space group P-1 (No. 2), with a = 5.111 Å, b = 6.391 Å, c = 6.508 Å, α = 78.27°, β = 66.95° and γ = 66.53°. The asymmetric unit holds Ac at (0.245, 0.208, 0.302), Zn at (0.500, 0.500, 0.500), Ni at (0.230, 0.268, 0.784), Ni at (0.252, 0.587, 0.910), Ni at (0.283, 0.732, 0.215) and Ge at (0.000, 0.000, 0.000).

The value obtained for the formation energy is -346.3 meV per atom.

No. 19
Below is a relaxed NdCd5Au3 crystal, with properties calculated at the GGA-PBE level.

It has space group Cmcm (No. 63), with a = 3.974 Å, b = 15.180 Å, c = 13.980 Å, α = 90.00°, β = 90.00° and γ = 90.00°. The asymmetric unit holds Nd at (0.000, 0.180, 0.250), Cd at (0.000, 0.000, 0.000), Cd at (0.000, 0.194, 0.553), Cd at (0.000, 0.444, 0.147), Au at (0.000, 0.161, 0.750) and Au at (0.000, 0.379, 0.587).

The value obtained for the formation energy is -294.9 meV per atom.

No. 20
Below is a relaxed Tb5PrNdY2 crystal, with properties calculated at the GGA-PBE level.

It has space group I4/mcm (No. 140), with a = 8.904 Å, b = 8.904 Å, c = 15.142 Å, α = 90.00°, β = 90.00° and γ = 90.00°. The asymmetric unit holds Tb at (0.000, 0.000, 0.000), Tb at (0.204, 0.296, 0.135), Pr at (0.000, 0.000, 0.250), Nd at (0.000, 0.500, 0.250) and Y at (0.116, 0.384, 0.500).

The value obtained for the formation energy is 287.1 meV per atom.